1.
A plane-wave DFT calculation with PBE was carried out for a relaxed HfVP crystal.

Computed properties:
- ρ (g/cm³) = 9.130
- electronic total energy (eV/atom) = -8.889
- density of states at the Fermi level (states/eV/cell) = 6.7

a b c (Å): 3.478 7.380 7.380
angles (deg): 90.00 90.00 90.00
Sites, in units of the cell vectors:
Hf (0.500, 0.770, 0.577)
Hf (0.000, 0.423, 0.770)
Hf (0.000, 0.577, 0.230)
Hf (0.500, 0.230, 0.423)
V (0.500, 0.883, 0.152)
V (0.500, 0.117, 0.848)
V (0.000, 0.152, 0.117)
V (0.000, 0.848, 0.883)
P (0.500, 0.356, 0.070)
P (0.000, 0.930, 0.356)
P (0.000, 0.070, 0.644)
P (0.500, 0.644, 0.930)

---

2.
A plane-wave DFT calculation with PBE was carried out for a relaxed HfV3P crystal.

Computed properties:
- ρ (g/cm³) = 7.207
- energy above the most stable polymorph in this dataset (eV per atom) = 0.6071
- electronic total energy (eV/atom) = -8.516
- density of states at the Fermi level (states/eV/cell) = 5.8

a b c (Å): 4.370 4.370 4.370
angles (deg): 90.00 90.00 90.00
Site moments in Bohr magnetons follow the coordinates.
Sites, in units of the cell vectors:
P (0.000, 0.000, 0.000)  -0.02
Hf (0.500, 0.500, 0.500)  -0.06
V (0.000, 0.500, 0.000)  0.36
V (0.000, 0.000, 0.500)  0.36
V (0.500, 0.000, 0.000)  0.36

---

3.
A plane-wave DFT calculation with PBE was carried out for a relaxed HfV3P crystal.

Computed properties:
- ρ (g/cm³) = 6.134
- energy above the most stable polymorph in this dataset (eV per atom) = 2.4080
- electronic total energy (eV/atom) = -6.715
- density of states at the Fermi level (states/eV/cell) = 8.5

a b c (Å): 4.612 4.612 4.612
angles (deg): 90.00 90.00 90.00
Sites, in units of the cell vectors:
P (0.500, 0.500, 0.500)
Hf (0.000, 0.000, 0.000)
V (0.000, 0.500, 0.000)
V (0.000, 0.000, 0.500)
V (0.500, 0.000, 0.000)

---

4.
A plane-wave DFT calculation with PBE was carried out for a relaxed HfVP crystal.

Computed properties:
- ρ (g/cm³) = 8.925
- electronic total energy (eV/atom) = -8.884
- density of states at the Fermi level (states/eV/cell) = 8.0

a b c (Å): 3.440 6.575 8.567
angles (deg): 90.00 90.00 90.00
Sites, in units of the cell vectors:
P (0.500, 0.854, 0.056)
P (0.500, 0.243, 0.374)
P (0.500, 0.354, 0.944)
P (0.500, 0.743, 0.626)
Hf (0.000, 0.153, 0.142)
Hf (0.000, 0.038, 0.553)
Hf (0.000, 0.538, 0.447)
Hf (0.000, 0.653, 0.858)
V (0.500, 0.851, 0.331)
V (0.500, 0.535, 0.176)
V (0.500, 0.035, 0.824)
V (0.500, 0.351, 0.669)

---

5.
A plane-wave DFT calculation with PBE was carried out for a relaxed Hf2PW crystal.

Computed properties:
- ρ (g/cm³) = 12.664
- electronic total energy (eV/atom) = -9.272
- density of states at the Fermi level (states/eV/cell) = 2.4

a b c (Å): 2.997 2.997 9.790
angles (deg): 81.19 81.19 60.00
Sites, in units of the cell vectors:
P (0.500, 0.500, 0.500)
Hf (0.094, 0.094, 0.717)
Hf (0.906, 0.906, 0.283)
W (0.000, 0.000, 0.000)

---

6.
A plane-wave DFT calculation with PBE was carried out for a relaxed HfPW3 crystal.

Computed properties:
- ρ (g/cm³) = 13.956
- energy above the most stable polymorph in this dataset (eV per atom) = 0.0000
- electronic total energy (eV/atom) = -10.340
- density of states at the Fermi level (states/eV/cell) = 6.6

a b c (Å): 4.490 4.490 4.490
angles (deg): 90.00 90.00 90.00
Sites, in units of the cell vectors:
P (0.000, 0.000, 0.000)
Hf (0.500, 0.500, 0.500)
W (0.000, 0.500, 0.000)
W (0.000, 0.000, 0.500)
W (0.500, 0.000, 0.000)

---

7.
A plane-wave DFT calculation with PBE was carried out for a relaxed HfPW2 crystal.

Computed properties:
- ρ (g/cm³) = 13.604
- electronic total energy (eV/atom) = -10.020
- density of states at the Fermi level (states/eV/cell) = 9.4

a b c (Å): 3.779 3.779 10.222
angles (deg): 79.35 79.35 90.00
Sites, in units of the cell vectors:
P (0.500, 0.500, 0.000)
P (0.250, 0.750, 0.500)
Hf (0.000, 0.000, 0.000)
Hf (0.750, 0.250, 0.500)
W (0.608, 0.125, 0.250)
W (0.142, 0.625, 0.250)
W (0.375, 0.392, 0.750)
W (0.875, 0.858, 0.750)

---

8.
A plane-wave DFT calculation with PBE was carried out for a relaxed Hf9PW4 crystal.

Computed properties:
- ρ (g/cm³) = 14.006
- electronic total energy (eV/atom) = -10.787
- density of states at the Fermi level (states/eV/cell) = 18.0

a b c (Å): 8.651 8.666 8.666
angles (deg): 120.00 90.00 90.00
Sites, in units of the cell vectors:
Hf (0.549, 0.803, 0.606)
Hf (0.549, 0.803, 0.197)
Hf (0.549, 0.394, 0.197)
Hf (0.451, 0.197, 0.394)
Hf (0.451, 0.197, 0.803)
Hf (0.451, 0.606, 0.803)
Hf (0.049, 0.197, 0.394)
Hf (0.049, 0.197, 0.803)
Hf (0.049, 0.606, 0.803)
Hf (0.951, 0.803, 0.606)
Hf (0.951, 0.803, 0.197)
Hf (0.951, 0.394, 0.197)
Hf (0.750, 0.461, 0.921)
Hf (0.750, 0.461, 0.539)
Hf (0.750, 0.079, 0.539)
Hf (0.250, 0.539, 0.079)
Hf (0.250, 0.539, 0.461)
Hf (0.250, 0.921, 0.461)
P (0.750, 0.667, 0.333)
P (0.250, 0.333, 0.667)
W (0.750, 0.111, 0.221)
W (0.750, 0.111, 0.889)
W (0.750, 0.779, 0.889)
W (0.250, 0.889, 0.779)
W (0.250, 0.889, 0.111)
W (0.250, 0.221, 0.111)
W (0.500, 0.000, 0.000)
W (0.000, 0.000, 0.000)

---

9.
A plane-wave DFT calculation with PBE was carried out for a relaxed Hf2PW crystal.

Computed properties:
- ρ (g/cm³) = 12.284
- electronic total energy (eV/atom) = -9.336
- density of states at the Fermi level (states/eV/cell) = 8.0

a b c (Å): 7.804 7.804 6.074
angles (deg): 50.03 50.03 90.00
Sites, in units of the cell vectors:
P (0.500, 0.500, 0.000)
P (0.250, 0.750, 0.500)
Hf (0.559, 0.125, 0.250)
Hf (0.191, 0.625, 0.250)
Hf (0.375, 0.441, 0.750)
Hf (0.875, 0.809, 0.750)
W (0.000, 0.000, 0.000)
W (0.750, 0.250, 0.500)

---

10.
A plane-wave DFT calculation with PBE was carried out for a relaxed HfPW3 crystal.

Computed properties:
- ρ (g/cm³) = 11.314
- energy above the most stable polymorph in this dataset (eV per atom) = 2.2637
- electronic total energy (eV/atom) = -8.076
- density of states at the Fermi level (states/eV/cell) = 5.5

a b c (Å): 4.816 4.816 4.816
angles (deg): 90.00 90.00 90.00
Sites, in units of the cell vectors:
P (0.500, 0.500, 0.500)
Hf (0.000, 0.000, 0.000)
W (0.000, 0.500, 0.000)
W (0.000, 0.000, 0.500)
W (0.500, 0.000, 0.000)

---

11.
A plane-wave DFT calculation with PBE was carried out for a relaxed YHfP3 crystal.

Computed properties:
- ρ (g/cm³) = 4.674
- energy above the most stable polymorph in this dataset (eV per atom) = 1.0789
- electronic total energy (eV/atom) = -5.780
- density of states at the Fermi level (states/eV/cell) = 6.9

a b c (Å): 5.040 5.040 5.040
angles (deg): 90.00 90.00 90.00
Sites, in units of the cell vectors:
Y (0.000, 0.000, 0.000)
P (0.000, 0.500, 0.000)
P (0.000, 0.000, 0.500)
P (0.500, 0.000, 0.000)
Hf (0.500, 0.500, 0.500)

---

12.
A plane-wave DFT calculation with PBE was carried out for a relaxed YHf2P crystal.

Computed properties:
- ρ (g/cm³) = 8.498
- electronic total energy (eV/atom) = -8.235
- density of states at the Fermi level (states/eV/cell) = 8.6

a b c (Å): 8.132 8.132 6.404
angles (deg): 50.58 50.58 90.00
Sites, in units of the cell vectors:
Y (0.000, 0.000, 0.000)
Y (0.750, 0.250, 0.500)
P (0.500, 0.500, 0.000)
P (0.250, 0.750, 0.500)
Hf (0.550, 0.125, 0.250)
Hf (0.200, 0.625, 0.250)
Hf (0.375, 0.450, 0.750)
Hf (0.875, 0.800, 0.750)

---

The evaluated magnetic moment for the records listed, in turn: 0.00 1.11 0.00 0.00 0.00 0.00 0.00 0.00 0.00 0.00 0.00 0.00 μB/f.u..